The following is a DFT calculation (PBE) of crystalline CeEuAlPb at its relaxed geometry.

Calculated values
Spin magnetization = 32.495 Bohr magnetons per cell
Formation energy = -1.13 eV per formula unit
DOS(E_F) = 11.48 states/eV/f.u.
Final energy = -0.228 Ha/atom

Cell and atoms, written as CIF:
```
data_CeEuAlPb
_chemical_formula_sum 'Ce4 Eu4 Al4 Pb4'
_cell_length_a 7.723
_cell_length_b 7.723
_cell_length_c 7.723
_cell_angle_alpha 90.00
_cell_angle_beta 90.00
_cell_angle_gamma 90.00
_space_group_name_H-M_alt 'F -4 3 m'
_space_group_IT_number 216
_space_group_name_Hall 'F -4 2 3'
loop_
_atom_site_label
_atom_site_type_symbol
_atom_site_fract_x
_atom_site_fract_y
_atom_site_fract_z
_atom_site_occupancy
Ce1 Ce 0.000 0.000 0.000 1
Eu1 Eu 0.000 0.000 0.500 1
Al1 Al 0.250 0.250 0.250 1
Pb1 Pb 0.250 0.250 0.750 1
```